No. 1
DFT (PBE) results for a relaxed Mo3Pt2N crystal.

Structure (POSCAR):
```
Mo3Pt2N
1.0
6.9033 0.0000 0.0000
0.0000 6.9033 0.0000
0.0000 0.0000 6.9033
Mo Pt N
12 8 4
direct
0.0500 0.1250 0.8000
0.1250 0.8000 0.0500
0.2000 0.5500 0.3750
0.3000 0.4500 0.8750
0.3750 0.2000 0.5500
0.4500 0.8750 0.3000
0.5500 0.3750 0.2000
0.6250 0.7000 0.9500
0.7000 0.9500 0.6250
0.8000 0.0500 0.1250
0.8750 0.3000 0.4500
0.9500 0.6250 0.7000
0.0565 0.9435 0.4435
0.1935 0.1935 0.1935
0.3065 0.8065 0.6935
0.4435 0.0565 0.9435
0.5565 0.5565 0.5565
0.6935 0.3065 0.8065
0.8065 0.6935 0.3065
0.9435 0.4435 0.0565
0.1250 0.3750 0.6250
0.3750 0.6250 0.1250
0.6250 0.1250 0.3750
0.8750 0.8750 0.8750
```

Summary:
energy relative to the elements, uncorrected: -0.367 eV per atom
total magnetic moment: 0.000 μB per formula unit

---

No. 2
DFT (PBE) results for a relaxed CrPdRh2 crystal.

Structure (POSCAR):
```
CrPdRh2
1.0
-3.4019 3.4019 2.6327
3.4019 -3.4019 2.6327
3.4019 3.4019 -2.6327
Cr Pd Rh
2 2 4
direct
0.0000 0.0000 0.0000
0.7500 0.2500 0.5000
0.2500 0.7500 0.5000
0.5000 0.5000 0.0000
0.0769 0.6250 0.9519
0.3750 0.3269 0.4519
0.6731 0.1250 0.0481
0.8750 0.9231 0.5481
```

Summary:
raw total energy: -7.1150 eV per atom
total magnetic moment: 0.000 μB per formula unit

---

No. 3
DFT (PBE) results for a relaxed Na2Al3CuAu12 crystal.

Structure (POSCAR):
```
Na2Al3CuAu12
1.0
4.2561 2.4573 6.3440
-4.2561 2.4573 6.3440
0.0000 -4.9145 6.3440
Na Al Cu Au
2 3 1 12
direct
0.1154 0.1154 0.1154
0.8846 0.8846 0.8846
0.0000 0.5000 0.5000
0.5000 0.0000 0.5000
0.5000 0.5000 0.0000
0.5000 0.5000 0.5000
0.1281 0.6316 0.6316
0.1330 0.1330 0.6118
0.1330 0.6118 0.1330
0.3684 0.3684 0.8719
0.3684 0.8719 0.3684
0.3882 0.8670 0.8670
0.6118 0.1330 0.1330
0.6316 0.1281 0.6316
0.6316 0.6316 0.1281
0.8670 0.3882 0.8670
0.8670 0.8670 0.3882
0.8719 0.3684 0.3684
```

Summary:
raw total energy: -3.2323 eV per atom
total magnetic moment: 0.000 μB per formula unit

---

No. 4
DFT (PBE) results for a relaxed Sm2HoTm crystal.

Structure (POSCAR):
```
Sm2HoTm
1.0
3.5711 0.0000 0.0000
0.0000 3.5711 0.0000
0.0000 0.0000 10.0599
Sm Ho Tm
2 1 1
direct
0.0000 0.0000 0.2487
0.0000 0.0000 0.7513
0.5000 0.5000 0.5000
0.5000 0.5000 0.0000
```

Summary:
raw total energy: -4.6004 eV per atom
total magnetic moment: 0.000 μB per formula unit

---

No. 5
DFT (PBE) results for a relaxed Mg3Pb13 crystal.

Structure (POSCAR):
```
Mg3Pb13
1.0
9.6094 0.0000 0.0000
0.0000 4.9037 5.0683
0.0000 -4.9037 5.0683
Mg Pb
3 13
direct
0.0000 0.0000 0.0000
0.2532 0.2511 0.2511
0.7468 0.2511 0.2511
0.0000 0.0182 0.4776
0.0000 0.4776 0.0182
0.0000 0.4945 0.4945
0.2406 0.7502 0.7502
0.2452 0.2427 0.7597
0.2452 0.7597 0.2427
0.5000 0.0039 0.0039
0.5000 0.0097 0.4919
0.5000 0.4919 0.0097
0.5000 0.4971 0.4971
0.7548 0.2427 0.7597
0.7548 0.7597 0.2427
0.7594 0.7502 0.7502
```

Summary:
raw total energy: -3.3174 eV per atom
total magnetic moment: 0.000 μB per formula unit

---

No. 6
DFT (PBE) results for a relaxed SrAc2Tl9 crystal.

Structure (POSCAR):
```
SrAc2Tl9
1.0
5.0045 0.0000 0.0000
0.0000 5.0045 0.0000
0.0000 0.0000 15.0270
Sr Ac Tl
1 2 9
direct
0.0000 0.0000 0.0000
0.0000 0.0000 0.3328
0.0000 0.0000 0.6672
0.0000 0.5000 0.1650
0.0000 0.5000 0.5000
0.0000 0.5000 0.8350
0.5000 0.0000 0.1650
0.5000 0.0000 0.5000
0.5000 0.0000 0.8350
0.5000 0.5000 0.0000
0.5000 0.5000 0.3328
0.5000 0.5000 0.6672
```

Summary:
raw total energy: -2.8941 eV per atom
total magnetic moment: 0.000 μB per formula unit

---

No. 7
DFT (PBE) results for a relaxed HPd5Pb2 crystal.

Structure (POSCAR):
```
HPd5Pb2
1.0
5.7020 0.0000 0.0000
0.0000 5.7020 0.0000
0.0000 0.0000 4.2163
H Pd Pb
1 5 2
direct
0.0000 0.0000 0.0000
0.0000 0.0000 0.5000
0.2522 0.2522 0.0000
0.2522 0.7478 0.0000
0.7478 0.2522 0.0000
0.7478 0.7478 0.0000
0.0000 0.5000 0.5000
0.5000 0.0000 0.5000
```

Summary:
raw total energy: -4.7559 eV per atom
total magnetic moment: 0.000 μB per formula unit

---

No. 8
DFT (PBE) results for a relaxed FeSb2Cl crystal.

Structure (POSCAR):
```
FeSb2Cl
1.0
0.0000 3.4818 3.4818
3.4818 0.0000 3.4818
3.4818 3.4818 0.0000
Fe Sb Cl
1 2 1
direct
0.0000 0.0000 0.0000
0.2500 0.2500 0.2500
0.7500 0.7500 0.7500
0.5000 0.5000 0.5000
```

Summary:
energy relative to the elements, uncorrected: 0.374 eV per atom
total magnetic moment: 2.688 μB per formula unit

---

No. 9
DFT (PBE) results for a relaxed GdCoCu4 crystal.

Structure (POSCAR):
```
GdCoCu4
1.0
0.0000 3.5155 3.5155
3.5155 0.0000 3.5155
3.5155 3.5155 0.0000
Gd Co Cu
1 1 4
direct
0.0000 0.0000 0.0000
0.2500 0.2500 0.2500
0.1287 0.6238 0.6238
0.6238 0.1287 0.6238
0.6238 0.6238 0.1287
0.6238 0.6238 0.6238
```

Summary:
raw total energy: -6.2738 eV per atom
total magnetic moment: 6.626 μB per formula unit

---

No. 10
DFT (PBE) results for a relaxed Hf2Zr2Cr crystal.

Structure (POSCAR):
```
Hf2Zr2Cr
1.0
6.5976 0.0000 0.0000
0.0000 6.5976 0.0000
0.0000 0.0000 4.9314
Hf Zr Cr
4 4 2
direct
0.1557 0.3443 0.0000
0.3443 0.8443 0.0000
0.6557 0.1557 0.0000
0.8443 0.6557 0.0000
0.1603 0.6603 0.5000
0.3397 0.1603 0.5000
0.6603 0.8397 0.5000
0.8397 0.3397 0.5000
0.0000 0.0000 0.0000
0.5000 0.5000 0.0000
```

Summary:
raw total energy: -8.9866 eV per atom
total magnetic moment: 0.871 μB per formula unit

---

No. 11
DFT (PBE) results for a relaxed CeTm2As3 crystal.

Structure (POSCAR):
```
CeTm2As3
1.0
-2.0582 2.9116 6.1603
2.0582 -2.9116 6.1603
2.0582 2.9116 -6.1603
Ce Tm As
1 2 3
direct
0.0000 0.0000 0.0000
0.3341 0.3341 0.0000
0.6659 0.6659 0.0000
0.1704 0.6704 0.5000
0.5000 0.0000 0.5000
0.8296 0.3296 0.5000
```

Summary:
raw total energy: -6.2750 eV per atom
total magnetic moment: 0.606 μB per formula unit

---

No. 12
DFT (PBE) results for a relaxed NbCu2Pd5 crystal.

Structure (POSCAR):
```
NbCu2Pd5
1.0
5.4820 0.0000 0.0000
0.0000 10.9598 0.0000
0.0000 0.0000 3.9820
Nb Cu Pd
2 4 10
direct
0.0000 0.0000 0.0000
0.5000 0.5000 0.0000
0.2263 0.3710 0.5000
0.2737 0.8710 0.5000
0.7263 0.1290 0.5000
0.7737 0.6290 0.5000
0.0000 0.5000 0.0000
0.0285 0.7598 0.0000
0.2327 0.1190 0.5000
0.2673 0.6190 0.5000
0.4715 0.2598 0.0000
0.5000 0.0000 0.0000
0.5285 0.7402 0.0000
0.7327 0.3810 0.5000
0.7673 0.8810 0.5000
0.9715 0.2402 0.0000
```

Summary:
raw total energy: -5.7381 eV per atom
total magnetic moment: 0.000 μB per formula unit

---

For each record above, in turn, the calculated volume values are 82 61 398 128 478 376 137 84 87 107 148 120 Å³/f.u..